1.
An optimized crystal structure of SrBeZn2Ag. Source: Alexandria, functional PBE-GGA.

Cell lengths 4.5669, 4.5669, 4.7823 Å; angles 90.00, 90.00, 90.00 degrees
Last column: nearest neighbours and their distance in Å.
Space group P4/mmm (No. 123)
Symmetry-distinct sites (fractional):
1 Sr 0.0000 0.0000 0.0000 [1 per cell]  4 Ag 3.23, 8 Zn 3.31
2 Be 0.5000 0.5000 0.5000 [1 per cell]  4 Zn 2.28, 2 Ag 2.39
3 Zn 0.0000 0.5000 0.5000 [2 per cell]  2 Be 2.28
4 Ag 0.5000 0.5000 0.0000 [1 per cell]  2 Be 2.39

theoretical density: 5.58 g cm⁻³
N(E_F): 2.0 states/eV/cell
raw total energy: -2.192 eV per atom
spin magnetization: 0.00 μB per cell

---

2.
An optimized crystal structure of Ho3Fe5Se12. Source: Alexandria, functional PBE-GGA.

Cell lengths 15.3696, 15.3696, 15.3696 Å; angles 90.00, 90.00, 90.00 degrees
Last column: nearest neighbours and their distance in Å.
Space group Ia-3d (No. 230)
Symmetry-distinct sites (fractional):
1 Ho 0.0000 0.2500 0.1250 [24 per cell]  8 Se 2.97-3.01
2 Fe 0.0000 0.0000 0.0000 [16 per cell]  6 Se 2.45
3 Fe 0.0000 0.2500 0.3750 [24 per cell]  4 Se 2.36
4 Se 0.0278 0.0570 0.6460 [96 per cell]  2 Fe 2.36-2.45

theoretical density: 6.30 g cm⁻³
N(E_F): 161.9 states/eV/cell
raw total energy: -5.600 eV per atom
spin magnetization: 119.17 μB per cell
E_form (uncorrected): -0.707 eV per atom

---

3.
An optimized crystal structure of CeZr3Ga3. Source: Alexandria, functional PBE-GGA.

Cell lengths 8.5093, 8.5093, 4.7440 Å; angles 90.00, 90.00, 120.00 degrees
Last column: nearest neighbours and their distance in Å.
Space group P6_3/m (No. 176)
Symmetry-distinct sites (fractional):
1 Ce 0.3333 0.6667 0.2500 [2 per cell]  9 Ga 3.08-3.12, 3 Zr 3.38
2 Zr 0.0054 0.7702 0.7500 [6 per cell]  4 Ga 2.78-3.01, 4 Zr 3.09
3 Ga 0.0744 0.4557 0.7500 [6 per cell]  4 Zr 2.78-3.01, 2 Ga 2.96, 1 Ce 3.08

theoretical density: 6.95 g cm⁻³
N(E_F): 13.9 states/eV/cell
raw total energy: -6.215 eV per atom
spin magnetization: 0.74 μB per cell

---

4.
An optimized crystal structure of Ac8CoRu2. Source: Alexandria, functional PBE-GGA.

Cell lengths 15.3303, 7.7539, 6.9273 Å; angles 90.00, 104.69, 90.00 degrees
Last column: nearest neighbours and their distance in Å.
Space group C2/m (No. 12)
Symmetry-distinct sites (fractional):
1 Ac 0.0825 0.0000 0.3128 [4 per cell]  1 Ru 2.71
2 Ac 0.1235 0.2581 0.8574 [8 per cell]  2 Ru 2.92-3.26, 1 Co 3.00
3 Ac 0.1651 0.5000 0.3613 [4 per cell]  1 Ru 3.02, 1 Co 3.08
4 Co 0.0000 0.5000 0.0000 [2 per cell]  6 Ac 3.00-3.08
5 Ru 0.2392 0.0000 0.2003 [4 per cell]  4 Ac 2.71-3.02

theoretical density: 8.66 g cm⁻³
N(E_F): 20.6 states/eV/cell
raw total energy: -5.318 eV per atom
ΔE to the lowest computed polymorph: 101 meV per atom
spin magnetization: 0.00 μB per cell

---

5.
An optimized crystal structure of ReSeBr. Source: Alexandria, functional PBE-GGA.

Cell lengths 3.7986, 3.7986, 6.1476 Å; angles 90.00, 90.00, 120.00 degrees
Last column: nearest neighbours and their distance in Å.
Space group P3m1 (No. 156)
Symmetry-distinct sites (fractional):
1 Re 0.0000 0.0000 0.0000 [1 per cell]  3 Se 2.42
2 Se 0.6667 0.3333 0.1651 [1 per cell]  3 Re 2.42
3 Br 0.3333 0.6667 0.7332 [1 per cell]  3 Re 2.74

theoretical density: 7.46 g cm⁻³
N(E_F): 3.6 states/eV/cell
raw total energy: -5.616 eV per atom
ΔE to the lowest computed polymorph: 135 meV per atom
spin magnetization: 0.02 μB per cell
E_form (uncorrected): 0.253 eV per atom

---

6.
An optimized crystal structure of NpSbF. Source: Alexandria, functional PBE-GGA.

Cell lengths 3.3307, 3.3307, 11.5763 Å; angles 90.00, 90.00, 90.00 degrees
Last column: nearest neighbours and their distance in Å.
Space group I4mm (No. 107)
Symmetry-distinct sites (fractional):
1 Np 0.0000 0.0000 0.0000 [2 per cell]  4 F 2.53
2 Sb 0.0000 0.0000 0.2965 [2 per cell]  5 F 3.27-3.45, 4 Sb 3.33, 5 Np 3.33-3.43
3 F 0.0000 0.0000 0.5789 [2 per cell]  4 Np 2.53

theoretical density: 9.77 g cm⁻³
N(E_F): 14.8 states/eV/cell
raw total energy: -7.618 eV per atom
ΔE to the lowest computed polymorph: 190 meV per atom
spin magnetization: 8.91 μB per cell
E_form (uncorrected): -1.306 eV per atom

---

7.
An optimized crystal structure of K3DyPu2O9. Source: Alexandria, functional PBE-GGA.

Cell lengths 6.0553, 6.0553, 7.4271 Å; angles 90.00, 90.00, 120.00 degrees
Last column: nearest neighbours and their distance in Å.
Space group P-3m1 (No. 164)
Symmetry-distinct sites (fractional):
1 K 0.0000 0.0000 0.0000 [1 per cell]  12 O 3.01-3.03
2 K 0.3333 0.6667 0.6616 [2 per cell]  12 O 3.02-3.06
3 Dy 0.0000 0.0000 0.5000 [1 per cell]  6 O 2.26
4 Pu 0.3333 0.6667 0.1649 [2 per cell]  6 O 2.03-2.13
5 O 0.0000 0.5000 0.0000 [3 per cell]  2 Pu 2.13
6 O 0.1750 0.3499 0.3215 [6 per cell]  1 Pu 2.03, 1 Dy 2.26

theoretical density: 6.42 g cm⁻³
N(E_F): 8.7 states/eV/cell
raw total energy: -7.976 eV per atom
spin magnetization: 4.00 μB per cell
E_form (uncorrected): -2.564 eV per atom

---

8.
An optimized crystal structure of Nd6Te5H. Source: Alexandria, functional PBE-GGA.

Cell lengths 7.6560, 13.1741, 7.6549 Å; angles 90.00, 110.23, 90.00 degrees
Last column: nearest neighbours and their distance in Å.
Space group C2/m (No. 12)
Symmetry-distinct sites (fractional):
1 Nd 0.2249 0.1530 0.2263 [8 per cell]  1 H 2.82, 3 Te 3.14-3.16
2 Nd 0.2329 0.0000 0.7393 [4 per cell]  1 H 3.10, 5 Te 3.14-3.18
3 Te 0.0000 0.1834 0.5000 [4 per cell]  6 Nd 3.16-3.23
4 Te 0.0000 0.3382 0.0000 [4 per cell]  6 Nd 3.14-3.16
5 Te 0.0000 0.5000 0.5000 [2 per cell]  6 Nd 3.14-3.18
6 H 0.0000 0.0000 0.0000 [2 per cell]  6 Nd 2.82-3.10

theoretical density: 6.90 g cm⁻³
N(E_F): 20.6 states/eV/cell
raw total energy: -5.133 eV per atom
spin magnetization: 0.00 μB per cell

---

9.
An optimized crystal structure of CaLaPr5Y2. Source: Alexandria, functional PBE-GGA.

Cell lengths 5.5582, 22.0935, 10.7173 Å; angles 90.00, 90.00, 90.00 degrees
Last column: nearest neighbours and their distance in Å.
Space group Cmc2_1 (No. 36)
Symmetry-distinct sites (fractional):
1 Ca 0.0000 0.1008 0.0000 [4 per cell]  6 Pr 3.38-3.57
2 La 0.0000 0.2752 0.4991 [4 per cell]  7 Pr 3.47-3.53, 2 Y 3.70
3 Pr 0.0000 0.0001 0.2500 [4 per cell]  2 Ca 3.48, 6 Pr 3.69-3.86, 4 Y 3.77-3.78
4 Pr 0.0000 0.1152 0.4998 [4 per cell]  1 La 3.53, 4 Pr 3.69-3.76, 4 Y 3.78
5 Pr 0.0000 0.2203 0.8033 [4 per cell]  2 Pr 3.28, 1 Ca 3.38, 3 La 3.48, 1 Y 3.65
6 Pr 0.0000 0.2211 0.1949 [4 per cell]  2 Pr 3.28, 1 Ca 3.38, 3 La 3.47-3.48, 1 Y 3.65
7 Pr 0.0000 0.4992 0.9997 [4 per cell]  2 Ca 3.57, 4 Y 3.60-3.80, 6 Pr 3.76-3.86
8 Y 0.0000 0.3844 0.7609 [4 per cell]  9 Pr 3.60-3.80, 1 La 3.70, 2 Ca 3.96
9 Y 0.0000 0.3850 0.2388 [4 per cell]  9 Pr 3.60-3.79, 1 La 3.70, 2 Ca 3.96

theoretical density: 5.36 g cm⁻³
N(E_F): 58.1 states/eV/cell
raw total energy: -4.703 eV per atom
spin magnetization: 0.00 μB per cell

---

10.
An optimized crystal structure of Cs2BeGeBr6. Source: Alexandria, functional PBE-GGA.

Cell lengths 7.5024, 7.5024, 11.0900 Å; angles 90.00, 90.00, 90.00 degrees
Last column: nearest neighbours and their distance in Å.
Space group I4/mmm (No. 139)
Symmetry-distinct sites (fractional):
1 Cs 0.0000 0.5000 0.2500 [4 per cell]  12 Br 3.75-3.84
2 Be 0.0000 0.0000 0.0000 [2 per cell]  4 Br 2.44
3 Ge 0.0000 0.0000 0.5000 [2 per cell]  6 Br 2.78-2.87
4 Br 0.0000 0.0000 0.2494 [4 per cell]  1 Be 2.77, 1 Ge 2.78
5 Br 0.2295 0.2295 0.0000 [8 per cell]  1 Be 2.44

theoretical density: 4.40 g cm⁻³
N(E_F): 0.0 states/eV/cell
raw total energy: -3.078 eV per atom
spin magnetization: 0.00 μB per cell
E_form (uncorrected): -1.069 eV per atom

---

11.
An optimized crystal structure of MgMn2Ag. Source: Alexandria, functional PBE-GGA.

Cell lengths 3.9753, 3.9753, 4.1490 Å; angles 90.00, 90.00, 90.00 degrees
Last column: nearest neighbours and their distance in Å.
Space group P4/mmm (No. 123)
Symmetry-distinct sites (fractional):
1 Mg 0.0000 0.0000 0.0000 [1 per cell]  4 Ag 2.81, 8 Mn 2.87
2 Mn 0.0000 0.5000 0.5000 [2 per cell]  4 Mn 2.81, 4 Mg 2.87, 4 Ag 2.87
3 Ag 0.5000 0.5000 0.0000 [1 per cell]  4 Mg 2.81, 8 Mn 2.87

theoretical density: 6.13 g cm⁻³
N(E_F): 3.3 states/eV/cell
raw total energy: -5.435 eV per atom
spin magnetization: 7.20 μB per cell